[1]
Na2PuZr2Se6 after structural relaxation, computed with PBE.

Cell lengths 6.892, 6.892, 7.476 Å; angles 98.61, 98.61, 120.47 degrees
Element x y z (fractional)
Na1 0.162 0.838 0.000
Na2 0.838 0.162 0.000
Pu1 0.000 0.000 0.500
Zr1 0.333 0.667 0.500
Zr2 0.667 0.333 0.500
Se1 0.072 0.423 0.723
Se2 0.279 0.279 0.276
Se3 0.423 0.072 0.723
Se4 0.577 0.928 0.277
Se5 0.721 0.721 0.724
Se6 0.928 0.577 0.277

Output
- Formation energy (no corrections): -1.36 eV per atom
- Total moment: 6.016 μB per formula unit
- Electronic total energy: -6.355 eV/atom

[2]
Pm2AlCu3Si4 after structural relaxation, computed with PBE.

Cell lengths 4.065, 4.065, 10.262 Å; angles 90.00, 90.00, 90.00 degrees
Element x y z (fractional)
Pm1 0.000 0.500 0.244
Pm2 0.500 0.000 0.756
Al1 0.000 0.000 0.500
Cu1 0.000 0.500 0.873
Cu2 0.500 0.000 0.127
Cu3 0.500 0.500 0.500
Si1 0.000 0.000 0.000
Si2 0.000 0.500 0.644
Si3 0.500 0.000 0.356
Si4 0.500 0.500 0.000

Output
- Formation energy (no corrections): -0.52 eV per atom
- Total moment: 0.000 μB per formula unit
- Electronic total energy: -5.242 eV/atom

[3]
Y2SiSn2 after structural relaxation, computed with PBE.

Cell lengths 7.547, 7.547, 4.496 Å; angles 90.00, 90.00, 90.00 degrees
Element x y z (fractional)
Y1 0.174 0.326 0.000
Y2 0.326 0.826 0.000
Y3 0.674 0.174 0.000
Y4 0.826 0.674 0.000
Si1 0.000 0.000 0.500
Si2 0.500 0.500 0.500
Sn1 0.135 0.635 0.500
Sn2 0.365 0.135 0.500
Sn3 0.635 0.865 0.500
Sn4 0.865 0.365 0.500

Output
- Formation energy (no corrections): -0.43 eV per atom
- Total moment: 0.000 μB per formula unit
- Electronic total energy: -5.700 eV/atom
- E above lowest polymorph: 11 meV/atom

[4]
ReAgHg2 after structural relaxation, computed with PBE.

Cell lengths 5.795, 5.795, 5.795 Å; angles 150.92, 125.84, 62.64 degrees
Element x y z (fractional)
Re1 0.000 0.000 0.000
Ag1 0.500 0.500 0.000
Hg1 0.247 0.747 0.500
Hg2 0.753 0.253 0.500

Output
- Total moment: 0.001 μB per formula unit
- Electronic total energy: -3.155 eV/atom
- Energy of formation: 18.93 kcal/mol of atoms
- E above lowest polymorph: 257 meV/atom

[5]
Ho4TmN5 after structural relaxation, computed with PBE.

Cell lengths 5.959, 5.959, 5.959 Å; angles 99.60, 99.60, 131.80 degrees
Element x y z (fractional)
Ho1 0.100 0.300 0.400
Ho2 0.300 0.900 0.200
Ho3 0.700 0.100 0.800
Ho4 0.900 0.700 0.600
Tm1 0.500 0.500 0.000
N1 0.000 0.000 0.000
N2 0.202 0.599 0.801
N3 0.401 0.202 0.602
N4 0.599 0.798 0.398
N5 0.798 0.401 0.199

Output
- Formation energy (no corrections): -1.76 eV per atom
- Total moment: 0.000 μB per formula unit
- Electronic total energy: -8.203 eV/atom